VASP calculation (SCAN) on a PBEsol-optimized structure of Ag8PSe6.

Cell lengths 7.5412, 7.9994, 10.4699 Å; angles 90.00, 90.00, 90.00 degrees
Sites, in units of the cell vectors:
Ag 0.3951 0.0000 0.9502
Ag 0.6049 0.5000 0.4502
Ag 0.9003 0.7840 0.1347
Ag 0.0997 0.7160 0.6347
Ag 0.0997 0.2840 0.6347
Ag 0.9003 0.2160 0.1347
Ag 0.4572 0.8045 0.7277
Ag 0.5428 0.6955 0.2277
Ag 0.5428 0.3045 0.2277
Ag 0.4572 0.1955 0.7277
Ag 0.8398 0.7875 0.8426
Ag 0.1602 0.7125 0.3426
Ag 0.1602 0.2875 0.3426
Ag 0.8398 0.2125 0.8426
Ag 0.2743 0.0000 0.5174
Ag 0.7257 0.5000 0.0174
P 0.7503 0.0000 0.4951
P 0.2497 0.5000 0.9951
Se 0.7251 0.0000 0.0025
Se 0.2749 0.5000 0.5025
Se 0.1719 0.0000 0.7590
Se 0.8281 0.5000 0.2590
Se 0.9845 0.0000 0.3524
Se 0.0155 0.5000 0.8524
Se 0.5239 0.0000 0.3516
Se 0.4761 0.5000 0.8516
Se 0.2566 0.7695 0.0989
Se 0.7434 0.7305 0.5989
Se 0.7434 0.2695 0.5989
Se 0.2566 0.2305 0.0989

E_form (uncorrected): -0.07 eV per atom
density of states at the Fermi level: 0.10 states/eV/atom
M_tot: 0.00 μB/f.u.
SG: Pmn2_1, No. 31

***

VASP calculation (SCAN) on a PBEsol-optimized structure of CaEu4O5.

Cell lengths 4.9502, 6.0575, 6.0575 Å; angles 80.39, 65.88, 65.88 degrees
Each line ends with the local moment (μB).
Sites, in units of the cell vectors:
Ca 0.0000 0.0000 0.0000  0.06
Eu 0.7996 0.8000 0.6007  6.87
Eu 0.4003 0.3993 0.8000  6.87
Eu 0.5997 0.6007 0.2000  6.87
Eu 0.2004 0.2000 0.3993  6.87
O 0.5000 0.0000 0.0000  -0.09
O 0.2941 0.8047 0.6072  -0.11
O 0.9012 0.3928 0.8047  -0.11
O 0.0988 0.6072 0.1953  -0.11
O 0.7059 0.1953 0.3928  -0.11

E_form (uncorrected): -3.06 eV per atom
density of states at the Fermi level: 1.24 states/eV/atom
M_tot: 27.99 μB/f.u.
SG: I4/m, No. 87

***

VASP calculation (SCAN) on a PBEsol-optimized structure of CdGe2P.

Cell lengths 4.7043, 4.7043, 4.7043 Å; angles 60.00, 60.00, 60.00 degrees
Sites, in units of the cell vectors:
P 0.0000 0.0000 0.0000
Ge 0.2500 0.2500 0.2500
Ge 0.7500 0.7500 0.7500
Cd 0.5000 0.5000 0.5000

formation enthalpy at 0 K: 2.09 eV per formula unit
density of states at the Fermi level: 0.51 states/eV/atom
M_tot: 0.00 μB/f.u.
SG: Fm-3m, No. 225

***

Look up the M_tot of the third one.
0.00 μB/f.u.

***

What did the second record say?
VASP calculation (SCAN) on a PBEsol-optimized structure of CaEu4O5.

Cell lengths 4.9502, 6.0575, 6.0575 Å; angles 80.39, 65.88, 65.88 degrees
Each line ends with the local moment (μB).
Sites, in units of the cell vectors:
Ca 0.0000 0.0000 0.0000  0.06
Eu 0.7996 0.8000 0.6007  6.87
Eu 0.4003 0.3993 0.8000  6.87
Eu 0.5997 0.6007 0.2000  6.87
Eu 0.2004 0.2000 0.3993  6.87
O 0.5000 0.0000 0.0000  -0.09
O 0.2941 0.8047 0.6072  -0.11
O 0.9012 0.3928 0.8047  -0.11
O 0.0988 0.6072 0.1953  -0.11
O 0.7059 0.1953 0.3928  -0.11

E_form (uncorrected): -3.06 eV per atom
density of states at the Fermi level: 1.24 states/eV/atom
M_tot: 27.99 μB/f.u.
SG: I4/m, No. 87

***

What is the M_tot in the third record?
0.00 μB/f.u.

***

Number 3 is which compound?
CdGe2P